1.
This record from Alexandria via LeMat-Bulk describes Ho5ErGe4 after structural relaxation. The functional is GGA-PBE.

a = 7.964 Å, b = 7.964 Å, c = 6.869 Å
α = 90.14°, β = 90.14°, γ = 35.87°
Fractional positions:
Ho 0.000 0.000 0.000
Ho 0.335 0.335 0.006
Ho 0.335 0.335 0.494
Ho 0.665 0.665 0.506
Ho 0.665 0.665 0.994
Er 0.000 0.000 0.500
Ge 0.179 0.179 0.750
Ge 0.490 0.490 0.749
Ge 0.510 0.510 0.251
Ge 0.821 0.821 0.250

Summary:
Formation energy, eV per atom: -0.6298
M_tot, μB per cell: 0.00

***

2.
This record from Alexandria via LeMat-Bulk describes Li2SiPb after structural relaxation. The functional is GGA-PBE.

a = 4.869 Å, b = 4.869 Å, c = 5.329 Å
α = 101.39°, β = 101.39°, γ = 38.83°
Fractional positions:
Li 0.238 0.238 0.210
Li 0.762 0.762 0.790
Si 0.500 0.500 0.000
Pb 0.000 0.000 0.500

Summary:
Energy relative to the lowest polymorph listed for this composition, meV/atom: 56
M_tot, μB per cell: 0.00
Raw formation energy, eV/atom: -0.028

***

3.
This record from Alexandria via LeMat-Bulk describes KTaMn after structural relaxation. The functional is GGA-PBE.

a = 5.261 Å, b = 5.261 Å, c = 2.724 Å
α = 90.00°, β = 90.00°, γ = 120.00°
Fractional positions:
K 0.000 0.000 0.000
Ta 0.333 0.667 0.492
Mn 0.667 0.333 0.989

Summary:
Formation energy, eV per atom: 1.4289
Energy relative to the lowest polymorph listed for this composition, meV/atom: 597
M_tot, μB per cell: 3.11

***

4.
This record from Alexandria via LeMat-Bulk describes CuAg4Au4 after structural relaxation. The functional is GGA-PBE.

a = 6.589 Å, b = 6.589 Å, c = 6.589 Å
α = 95.23°, β = 95.23°, γ = 144.87°
Fractional positions:
Cu 0.000 0.000 0.000
Ag 0.000 0.332 0.332
Ag 0.000 0.668 0.668
Ag 0.332 0.000 0.332
Ag 0.668 0.000 0.668
Au 0.338 0.338 0.675
Au 0.338 0.662 0.000
Au 0.662 0.338 0.000
Au 0.662 0.662 0.325

Summary:
Formation energy, eV per atom: -0.0157
Energy relative to the lowest polymorph listed for this composition, meV/atom: 0
M_tot, μB per cell: 0.00

***

5.
This record from Alexandria via LeMat-Bulk describes MgPaGa5 after structural relaxation. The functional is GGA-PBE.

a = 4.497 Å, b = 4.497 Å, c = 7.098 Å
α = 90.00°, β = 90.00°, γ = 90.00°
Fractional positions:
Mg 0.000 0.000 0.000
Pa 0.000 0.000 0.500
Ga 0.000 0.500 0.218
Ga 0.000 0.500 0.782
Ga 0.500 0.000 0.218
Ga 0.500 0.000 0.782
Ga 0.500 0.500 0.500

Summary:
Formation energy, eV per atom: -0.1774
M_tot, μB per cell: 0.00

***

6.
This record from Alexandria via LeMat-Bulk describes Dy2PuGa2Rh5 after structural relaxation. The functional is GGA-PBE.

a = 9.892 Å, b = 9.892 Å, c = 3.672 Å
α = 90.00°, β = 90.00°, γ = 90.00°
Fractional positions:
Dy 0.172 0.328 0.000
Dy 0.328 0.828 0.000
Dy 0.672 0.172 0.000
Dy 0.828 0.672 0.000
Pu 0.000 0.000 0.000
Pu 0.500 0.500 0.000
Ga 0.124 0.624 0.000
Ga 0.376 0.124 0.000
Ga 0.624 0.876 0.000
Ga 0.876 0.376 0.000
Rh 0.000 0.500 0.500
Rh 0.070 0.792 0.500
Rh 0.208 0.070 0.500
Rh 0.292 0.570 0.500
Rh 0.430 0.292 0.500
Rh 0.500 0.000 0.500
Rh 0.570 0.708 0.500
Rh 0.708 0.430 0.500
Rh 0.792 0.930 0.500
Rh 0.930 0.208 0.500

Summary:
Formation energy, eV per atom: -0.7575
M_tot, μB per cell: 9.34

***

7.
This record from Alexandria via LeMat-Bulk describes La3PmHo after structural relaxation. The functional is GGA-PBE.

a = 5.772 Å, b = 5.772 Å, c = 12.067 Å
α = 90.00°, β = 90.00°, γ = 116.85°
Fractional positions:
La 0.052 0.948 0.750
La 0.353 0.647 0.598
La 0.353 0.647 0.902
La 0.647 0.353 0.098
La 0.647 0.353 0.402
La 0.948 0.052 0.250
Pm 0.000 0.000 0.000
Pm 0.000 0.000 0.500
Ho 0.297 0.703 0.250
Ho 0.703 0.297 0.750

Summary:
Formation energy, eV per atom: 0.1924
Energy relative to the lowest polymorph listed for this composition, meV/atom: 0
M_tot, μB per cell: 0.00

***

8.
This record from Alexandria via LeMat-Bulk describes Sr2Nb2In after structural relaxation. The functional is GGA-PBE.

a = 7.435 Å, b = 7.435 Å, c = 5.346 Å
α = 90.00°, β = 90.00°, γ = 90.00°
Fractional positions:
Sr 0.182 0.318 0.000
Sr 0.318 0.818 0.000
Sr 0.682 0.182 0.000
Sr 0.818 0.682 0.000
Nb 0.113 0.613 0.500
Nb 0.387 0.113 0.500
Nb 0.613 0.887 0.500
Nb 0.887 0.387 0.500
In 0.000 0.000 0.500
In 0.500 0.500 0.500

Summary:
Formation energy, eV per atom: 0.5272
Energy relative to the lowest polymorph listed for this composition, meV/atom: 0
M_tot, μB per cell: 1.93

***

9.
This record from Alexandria via LeMat-Bulk describes LiMoAu after structural relaxation. The functional is GGA-PBE.

a = 4.771 Å, b = 4.751 Å, c = 8.307 Å
α = 90.00°, β = 90.00°, γ = 90.00°
Fractional positions:
Li 0.158 0.250 0.029
Li 0.342 0.750 0.529
Li 0.658 0.250 0.471
Li 0.842 0.750 0.971
Mo 0.123 0.250 0.701
Mo 0.377 0.750 0.201
Mo 0.623 0.250 0.799
Mo 0.877 0.750 0.299
Au 0.168 0.250 0.362
Au 0.332 0.750 0.862
Au 0.668 0.250 0.138
Au 0.832 0.750 0.638

Summary:
Formation energy, eV per atom: 0.1393
Energy relative to the lowest polymorph listed for this composition, meV/atom: 127
M_tot, μB per cell: 0.00

***

10.
This record from Alexandria via LeMat-Bulk describes In2Os2W after structural relaxation. The functional is GGA-PBE.

a = 8.506 Å, b = 8.506 Å, c = 8.506 Å
α = 156.20°, β = 156.20°, γ = 33.91°
Fractional positions:
In 0.103 0.103 0.000
In 0.897 0.897 0.000
Os 0.250 0.750 0.500
Os 0.750 0.250 0.500
W 0.500 0.500 0.000

Summary:
Formation energy, eV per atom: 1.2119
Energy relative to the lowest polymorph listed for this composition, meV/atom: 252
M_tot, μB per cell: 2.22

***

11.
This record from Alexandria via LeMat-Bulk describes Cd2PAu after structural relaxation. The functional is GGA-PBE.

a = 4.813 Å, b = 4.813 Å, c = 4.813 Å
α = 60.00°, β = 60.00°, γ = 60.00°
Fractional positions:
Cd 0.000 0.000 0.000
Cd 0.250 0.250 0.250
P 0.750 0.750 0.750
Au 0.500 0.500 0.500

Summary:
Formation energy, eV per atom: 0.2461
M_tot, μB per cell: 0.00

***

12.
This record from Alexandria via LeMat-Bulk describes AcGdZnOs after structural relaxation. The functional is GGA-PBE.

a = 5.155 Å, b = 5.155 Å, c = 5.155 Å
α = 60.00°, β = 60.00°, γ = 60.00°
Fractional positions:
Ac 0.000 0.000 0.000
Gd 0.500 0.500 0.500
Zn 0.750 0.750 0.750
Os 0.250 0.250 0.250

Summary:
Formation energy, eV per atom: -0.0457
M_tot, μB per cell: 7.02

***

13.
This record from Alexandria via LeMat-Bulk describes Pm7Er4Mg after structural relaxation. The functional is GGA-PBE.

a = 6.255 Å, b = 6.255 Å, c = 13.132 Å
α = 103.95°, β = 103.95°, γ = 52.64°
Fractional positions:
Pm 0.000 0.000 0.000
Pm 0.139 0.139 0.468
Pm 0.274 0.274 0.103
Pm 0.340 0.340 0.744
Pm 0.660 0.660 0.256
Pm 0.726 0.726 0.897
Pm 0.861 0.861 0.532
Er 0.047 0.047 0.778
Er 0.409 0.409 0.372
Er 0.591 0.591 0.628
Er 0.953 0.953 0.222
Mg 0.500 0.500 0.000

Summary:
Formation energy, eV per atom: 0.2040
M_tot, μB per cell: 0.00

***

14.
This record from Alexandria via LeMat-Bulk describes Pu2SiPt after structural relaxation. The functional is GGA-PBE.

a = 5.428 Å, b = 4.053 Å, c = 8.502 Å
α = 90.00°, β = 107.90°, γ = 90.00°
Fractional positions:
Pu 0.213 0.250 0.437
Pu 0.262 0.750 0.068
Pu 0.738 0.250 0.932
Pu 0.787 0.750 0.563
Si 0.155 0.250 0.782
Si 0.845 0.750 0.218
Pt 0.386 0.750 0.723
Pt 0.614 0.250 0.277

Summary:
M_tot, μB per cell: 0.00
Raw formation energy, eV/atom: -0.575

***

15.
This record from Alexandria via LeMat-Bulk describes SrHoEr2S4 after structural relaxation. The functional is GGA-PBE.

a = 6.863 Å, b = 3.934 Å, c = 6.865 Å
α = 90.00°, β = 109.06°, γ = 90.00°
Fractional positions:
Sr 0.000 0.000 0.000
Ho 0.500 0.500 0.000
Er 0.000 0.500 0.500
Er 0.500 0.000 0.500
S 0.255 0.000 0.742
S 0.264 0.500 0.265
S 0.736 0.500 0.735
S 0.745 0.000 0.258

Summary:
M_tot, μB per cell: 0.00
Raw formation energy, eV/atom: -1.965

***

16.
This record from Alexandria via LeMat-Bulk describes NaUN2 after structural relaxation. The functional is GGA-PBE.

a = 6.317 Å, b = 6.317 Å, c = 6.317 Å
α = 32.21°, β = 32.21°, γ = 32.21°
Fractional positions:
Na 0.000 0.000 0.000
U 0.823 0.823 0.823
N 0.212 0.212 0.212
N 0.430 0.430 0.430

Summary:
Energy relative to the lowest polymorph listed for this composition, meV/atom: 71
M_tot, μB per cell: 1.01
Raw formation energy, eV/atom: -0.955

***

17.
This record from Alexandria via LeMat-Bulk describes ThAlRh after structural relaxation. The functional is GGA-PBE.

a = 13.098 Å, b = 3.965 Å, c = 7.327 Å
α = 90.00°, β = 90.00°, γ = 90.00°
Fractional positions:
Th 0.041 0.000 0.248
Th 0.250 0.000 0.877
Th 0.459 0.000 0.248
Th 0.541 0.000 0.752
Th 0.750 0.000 0.123
Th 0.959 0.000 0.752
Al 0.134 0.500 0.574
Al 0.250 0.500 0.228
Al 0.366 0.500 0.574
Al 0.634 0.500 0.426
Al 0.750 0.500 0.772
Al 0.866 0.500 0.426
Rh 0.104 0.500 0.939
Rh 0.250 0.000 0.459
Rh 0.396 0.500 0.939
Rh 0.604 0.500 0.061
Rh 0.750 0.000 0.541
Rh 0.896 0.500 0.061

Summary:
Formation energy, eV per atom: -0.8462
M_tot, μB per cell: 0.00

***

18.
This record from Alexandria via LeMat-Bulk describes Na4Ca2SnP4 after structural relaxation. The functional is GGA-PBE.

a = 9.441 Å, b = 9.441 Å, c = 7.117 Å
α = 91.33°, β = 91.33°, γ = 120.04°
Fractional positions:
Na 0.074 0.926 0.500
Na 0.317 0.856 0.199
Na 0.498 0.652 0.055
Na 0.647 0.937 0.528
Na 0.652 0.498 0.555
Na 0.856 0.317 0.699
Na 0.926 0.074 0.000
Na 0.937 0.647 0.028
Ca 0.255 0.309 0.698
Ca 0.258 0.729 0.709
Ca 0.309 0.255 0.198
Ca 0.729 0.258 0.209
Sn 0.127 0.461 0.319
Sn 0.461 0.127 0.819
P 0.133 0.455 0.962
P 0.162 0.979 0.909
P 0.414 0.593 0.461
P 0.455 0.133 0.462
P 0.593 0.414 0.961
P 0.594 0.971 0.933
P 0.971 0.594 0.433
P 0.979 0.162 0.409

Summary:
Formation energy, eV per atom: -0.6152
M_tot, μB per cell: 0.00

***

19.
This record from Alexandria via LeMat-Bulk describes PmSm2Dy2Tm2 after structural relaxation. The functional is GGA-PBE.

a = 6.162 Å, b = 6.162 Å, c = 7.985 Å
α = 97.37°, β = 97.37°, γ = 48.33°
Fractional positions:
Pm 0.000 0.000 0.000
Sm 0.428 0.428 0.285
Sm 0.572 0.572 0.715
Dy 0.143 0.143 0.430
Dy 0.857 0.857 0.570
Tm 0.286 0.286 0.856
Tm 0.714 0.714 0.144

Summary:
Formation energy, eV per atom: 0.0181
M_tot, μB per cell: 0.00

***

20.
This record from Alexandria via LeMat-Bulk describes Li2GeIr after structural relaxation. The functional is GGA-PBE.

a = 9.748 Å, b = 9.748 Å, c = 9.748 Å
α = 158.70°, β = 158.70°, γ = 30.31°
Fractional positions:
Li 0.116 0.625 0.991
Li 0.375 0.366 0.491
Li 0.634 0.125 0.009
Li 0.875 0.884 0.509
Ge 0.250 0.750 0.500
Ge 0.500 0.500 0.000
Ir 0.000 0.000 0.000
Ir 0.750 0.250 0.500

Summary:
Formation energy, eV per atom: -0.0692
M_tot, μB per cell: 0.00

***

no.,raw total energy (eV for the cell shown)
1,-52.2
2,-13.1
3,-17.8
4,-28.8
5,-27.5
6,-147.8
7,-46.3
8,-47.2
9,-62.4
10,-34.8
11,-9.5
12,-30.9
13,-50.7
14,-84.9
15,-47.6
16,-33.1
17,-126.3
18,-83.4
19,-32.2
20,-35.2